# 1
# Ba12Li3F5

A relaxed structure of Ba12Li3F5 (PBE, the Alexandria database).

Lattice parameters (Å, degrees): 16.1494 16.1494 16.1494 109.47 109.47 109.47
Fractional positions:
Ba1 0.0149 0.2037 0.1125
Ba2 0.0149 0.3112 0.9024
Ba3 0.0912 0.7037 0.6888
Ba4 0.0912 0.8875 0.4024
Ba5 0.0976 0.6125 0.4088
Ba6 0.0976 0.9851 0.6888
Ba7 0.1125 0.0149 0.2037
Ba8 0.1125 0.5976 0.9088
Ba9 0.1888 0.2037 0.5912
Ba10 0.1888 0.4851 0.5976
Ba11 0.2037 0.1125 0.0149
Ba12 0.2037 0.5912 0.1888
Ba13 0.2963 0.3112 0.9088
Ba14 0.2963 0.4851 0.3875
Ba15 0.3112 0.9024 0.0149
Ba16 0.3112 0.9088 0.2963
Ba17 0.3875 0.2963 0.4851
Ba18 0.3875 0.5912 0.9024
Ba19 0.4024 0.0912 0.8875
Ba20 0.4024 0.8112 0.5149
Ba21 0.4088 0.0976 0.6125
Ba22 0.4088 0.8112 0.7963
Ba23 0.4851 0.3875 0.2963
Ba24 0.4851 0.5976 0.1888
Ba25 0.5149 0.4024 0.8112
Ba26 0.5149 0.6125 0.7037
Ba27 0.5912 0.1888 0.2037
Ba28 0.5912 0.9024 0.3875
Ba29 0.5976 0.1888 0.4851
Ba30 0.5976 0.9088 0.1125
Ba31 0.6125 0.4088 0.0976
Ba32 0.6125 0.7037 0.5149
Ba33 0.6888 0.0912 0.7037
Ba34 0.6888 0.0976 0.9851
Ba35 0.7037 0.5149 0.6125
Ba36 0.7037 0.6888 0.0912
Ba37 0.7963 0.4088 0.8112
Ba38 0.7963 0.8875 0.9851
Ba39 0.8112 0.5149 0.4024
Ba40 0.8112 0.7963 0.4088
Ba41 0.8875 0.4024 0.0912
Ba42 0.8875 0.9851 0.7963
Ba43 0.9024 0.0149 0.3112
Ba44 0.9024 0.3875 0.5912
Ba45 0.9088 0.1125 0.5976
Ba46 0.9088 0.2963 0.3112
Ba47 0.9851 0.6888 0.0976
Ba48 0.9851 0.7963 0.8875
Li1 0.1250 0.2500 0.3750
Li2 0.1250 0.3750 0.7500
Li3 0.2500 0.3750 0.1250
Li4 0.2500 0.8750 0.6250
Li5 0.3750 0.1250 0.2500
Li6 0.3750 0.7500 0.1250
Li7 0.6250 0.2500 0.8750
Li8 0.6250 0.8750 0.7500
Li9 0.7500 0.1250 0.3750
Li10 0.7500 0.6250 0.8750
Li11 0.8750 0.6250 0.2500
Li12 0.8750 0.7500 0.6250
F1 0.0000 0.0000 0.0000
F2 0.0000 0.0000 0.5000
F3 0.0000 0.5000 0.0000
F4 0.0000 0.5000 0.5000
F5 0.1250 0.7500 0.8750
F6 0.1250 0.8750 0.2500
F7 0.2500 0.1250 0.8750
F8 0.2500 0.6250 0.3750
F9 0.3750 0.2500 0.6250
F10 0.3750 0.6250 0.7500
F11 0.5000 0.0000 0.0000
F12 0.5000 0.0000 0.5000
F13 0.5000 0.5000 0.0000
F14 0.5000 0.5000 0.5000
F15 0.6250 0.3750 0.2500
F16 0.6250 0.7500 0.3750
F17 0.7500 0.3750 0.6250
F18 0.7500 0.8750 0.1250
F19 0.8750 0.1250 0.7500
F20 0.8750 0.2500 0.1250

Computed properties:
Volume in A^3/atom: 40.53
Space group: Ia-3d (230)
Formation energy without anion corrections in eV per atom: -1.30
Size of the total moment in μB per formula unit: 4.67



# 2
# RbCoRu3

A relaxed structure of RbCoRu3 (PBE, the Alexandria database).

Lattice parameters (Å, degrees): 4.6209 4.6209 4.6209 90.00 90.00 90.00
Fractional positions:
Rb1 0.0000 0.0000 0.0000
Co1 0.5000 0.5000 0.5000
Ru1 0.0000 0.0000 0.5000
Ru2 0.0000 0.5000 0.0000
Ru3 0.5000 0.0000 0.0000

Computed properties:
Calculated formation energy in eV/atom: 3.481
Volume in A^3/atom: 19.73
Space group: Pm-3m (221)
Energy relative to the lowest polymorph listed for this composition in eV/f.u.: 9.085
Size of the total moment in μB per formula unit: 0.00



# 3
# CeHo2Cd6

A relaxed structure of CeHo2Cd6 (PBE, the Alexandria database).

Lattice parameters (Å, degrees): 8.6921 8.6921 3.3681 90.00 90.00 120.00
Fractional positions:
Ce1 0.0000 0.0000 0.0000
Ho1 0.3333 0.6667 0.0000
Ho2 0.6667 0.3333 0.0000
Cd1 0.0000 0.3362 0.5000
Cd2 0.0000 0.6638 0.5000
Cd3 0.3362 0.0000 0.5000
Cd4 0.3362 0.3362 0.5000
Cd5 0.6638 0.0000 0.5000
Cd6 0.6638 0.6638 0.5000

Computed properties:
Calculated formation energy in eV/atom: -0.284
Volume in A^3/atom: 24.49
Space group: P6/mmm (191)
Size of the total moment in μB per formula unit: 1.16